DFT (PBE) results for a geometry-optimized Pm3GaHg2Rh3 structure.

Unit cell a=7.7630 b=7.7630 c=3.7234 alpha=90.00 beta=90.00 gamma=120.00
Space group P-62m (No. 189)
Asymmetric unit:
Pm: 0.0000 0.6259 0.0000 (multiplicity 3)
Ga: 0.0000 0.0000 0.0000 (multiplicity 1)
Hg: 0.3333 0.6667 0.5000 (multiplicity 2)
Rh: 0.0000 0.2296 0.5000 (multiplicity 3)

Values from the calculation:
energy of formation: -13.091 kcal/mol of atoms
total moment: 0.00 μB per cell

---

DFT (PBE) results for a geometry-optimized Pm2Ga3HgRh4 structure.

Unit cell a=4.269 b=4.269 c=10.615 alpha=90.00 beta=90.00 gamma=90.00
Space group P-4m2 (No. 115)
Asymmetric unit:
Pm: 0.000 0.500 0.237 (multiplicity 2)
Ga: 0.000 0.500 0.881 (multiplicity 2)
Ga: 0.500 0.500 0.500 (multiplicity 1)
Hg: 0.000 0.000 0.500 (multiplicity 1)
Rh: 0.000 0.000 0.000 (multiplicity 1)
Rh: 0.000 0.500 0.652 (multiplicity 2)
Rh: 0.500 0.500 0.000 (multiplicity 1)

Values from the calculation:
energy of formation: -15.211 kcal/mol of atoms
total moment: 0.00 μB per cell

---

DFT (PBE) results for a geometry-optimized Pm4GaHgTe2 structure.

Unit cell a=7.408 b=4.258 c=8.107 alpha=90.00 beta=107.47 gamma=90.00
Space group P2/m (No. 10)
Asymmetric unit:
Pm: 0.241 0.000 0.242 (multiplicity 2)
Pm: 0.244 0.500 0.752 (multiplicity 2)
Ga: 0.000 0.500 0.000 (multiplicity 1)
Hg: 0.500 0.000 0.000 (multiplicity 1)
Te: 0.000 0.000 0.500 (multiplicity 1)
Te: 0.500 0.500 0.500 (multiplicity 1)

Values from the calculation:
total moment: 0.00 μB per cell
raw formation energy: -91.2 kJ per mole of atoms

---

DFT (PBE) results for a geometry-optimized PmThGaHg structure.

Unit cell a=7.526 b=7.526 c=7.526 alpha=90.00 beta=90.00 gamma=90.00
Space group F-43m (No. 216)
Asymmetric unit:
Pm: 0.000 0.000 0.000 (multiplicity 4)
Th: 0.000 0.000 0.500 (multiplicity 4)
Ga: 0.250 0.250 0.250 (multiplicity 4)
Hg: 0.250 0.250 0.750 (multiplicity 4)

Values from the calculation:
energy of formation: -8.753 kcal/mol of atoms
total moment: 0.00 μB per cell